ZrSbIrRh2, PBEsol geometry, DFT SCAN; space group = P4/mmm; uncorrected energy = -203.65 eV for the cell shown; ΔE_f (raw) = 0.59 eV per atom
1.0
-2.191 -4.003 -1.161
-0.881 -0.838 4.549
-4.222 2.418 -0.372
Sb Ir Rh Zr
1 1 2 1
direct
0.500 0.500 0.500 Sb
0.000 0.000 0.000 Ir
0.000 0.500 0.000 Rh
0.500 0.000 0.000 Rh
0.000 0.000 0.500 Zr